# V5CrW4, optimized geometry, DFT GGA-PBE
# Density of states at the Fermi level: 1.115 states/eV/atom
# E_tot: -10.7630 eV/atom
# SG: No. 123
# Calculated formation energy: -0.0601 eV per atom
data_V5CrW4
_chemical_formula_sum 'V5 Cr1 W4'
_space_group_name_H-M_alt 'P 1'
_space_group_IT_number 1
_cell_length_a 3.055
_cell_length_b 3.055
_cell_length_c 15.282
_cell_angle_alpha 90.00
_cell_angle_beta 90.00
_cell_angle_gamma 90.00
loop_
_space_group_symop_operation_xyz
'x,y,z'
loop_
_atom_site_label
_atom_site_fract_x
_atom_site_fract_y
_atom_site_fract_z
V1 0.000 0.000 0.000
V2 0.000 0.000 0.204
V3 0.000 0.000 0.407
V4 0.000 0.000 0.593
V5 0.000 0.000 0.796
Cr1 0.500 0.500 0.500
W1 0.500 0.500 0.102
W2 0.500 0.500 0.305
W3 0.500 0.500 0.695
W4 0.500 0.500 0.898